1.
Density functional theory data (PBE) for a relaxed LiPaRh crystal.

Calculated values
* V: 20.28 Å³/atom
* formation enthalpy at 0 K: -144 meV per atom

Lattice parameters (Å, degrees): 6.243 6.243 6.243 90.00 90.00 90.00
Space group P2_13 (No. 198)
Unique sites:
Li: 0.155 0.345 0.655 x4
Pa: 0.151 0.151 0.151 x4
Rh: 0.024 0.524 0.976 x4



2.
Density functional theory data (PBE) for a relaxed SrPr2Ir crystal.

Calculated values
* V: 38.50 Å³/atom
* energy above the lowest structure with this stoichiometry: 0 meV per atom
* formation enthalpy at 0 K: -351 meV per atom

Lattice parameters (Å, degrees): 4.2739 4.2739 29.2018 90.00 90.00 120.00
Space group R3m (No. 160, hexagonal axes)
Unique sites:
Sr: 0.0000 0.0000 0.0000 x3
Pr: 0.0000 0.0000 0.5485 x3
Pr: 0.0000 0.0000 0.7813 x3
Ir: 0.0000 0.0000 0.1649 x3



3.
Density functional theory data (PBE) for a relaxed KSr crystal.

Calculated values
* V: 61.89 Å³/atom
* formation enthalpy at 0 K: 100 meV per atom

Lattice parameters (Å, degrees): 4.3625 4.3625 7.5108 90.00 90.00 120.00
Space group P-6m2 (No. 187)
Unique sites:
K: 0.0000 0.0000 0.0000 x1
Sr: 0.3333 0.6667 0.5000 x1



- The lowest V belongs to which entry?
  LiPaRh